Record 1
A plane-wave DFT calculation with GGA-PBEsol was carried out for a geometry-optimized TbFeNi4 structure.

Structure (POSCAR):
```
TbFeNi4
1.0
3.883 0.000 0.000
0.000 4.857 0.000
0.000 -2.429 4.207
Tb Fe Ni
1 1 4
Direct
0.000 0.333 0.667
0.000 0.000 0.000
0.000 0.667 0.333
0.500 0.334 0.167
0.500 0.833 0.666
0.500 0.833 0.167
```

Volume in A^3/atom: 13.2
Formation energy from the elements in eV/atom: -0.2378

---

Record 2
A plane-wave DFT calculation with GGA-PBEsol was carried out for a geometry-optimized CdCoRe2Te structure.

Structure (POSCAR):
```
CdCoRe2Te
1.0
-3.164 2.615 1.855
-2.472 -0.006 -4.207
-2.440 -3.974 1.439
Re Te Co Cd
2 1 1 1
Direct
0.000 0.000 0.500
0.000 0.500 0.000
0.500 0.500 0.500
0.500 0.000 0.000
0.000 0.000 0.000
```

Formation energy from raw total energies in eV/atom: 2.598
Volume in A^3/atom: 21.5

---

Record 3
A plane-wave DFT calculation with GGA-PBEsol was carried out for a geometry-optimized K2RbSe2 structure.

Structure (POSCAR):
```
K2RbSe2
1.0
-0.890 4.969 -0.651
-4.990 -0.940 -0.355
2.315 -1.244 7.235
K Se Rb
2 2 1
Direct
0.250 0.750 0.500
0.750 0.250 0.500
0.393 0.393 0.786
0.607 0.607 0.214
0.000 0.000 0.000
```

Formation energy from raw total energies in eV/atom: -0.789
Volume in A^3/atom: 35.3

---

Record 4
A plane-wave DFT calculation with GGA-PBEsol was carried out for a geometry-optimized HoReB4 structure.

Structure (POSCAR):
```
HoReB4
1.0
3.567 0.000 0.000
0.000 5.927 0.000
0.000 0.000 11.466
Re B Ho
4 16 4
Direct
0.000 0.634 0.412
0.000 0.366 0.588
0.000 0.134 0.088
0.000 0.866 0.912
0.500 0.978 0.193
0.500 0.022 0.807
0.500 0.478 0.307
0.500 0.522 0.693
0.500 0.788 0.315
0.500 0.212 0.685
0.500 0.288 0.185
0.500 0.712 0.815
0.500 0.864 0.468
0.500 0.136 0.532
0.500 0.364 0.032
0.500 0.636 0.968
0.500 0.886 0.048
0.500 0.114 0.952
0.500 0.386 0.452
0.500 0.614 0.548
0.000 0.627 0.150
0.000 0.373 0.850
0.000 0.127 0.350
0.000 0.873 0.650
```

Volume in A^3/atom: 10.1
Formation energy from the elements in eV/atom: -0.6586

---

Record 5
A plane-wave DFT calculation with GGA-PBEsol was carried out for a geometry-optimized Li2ZnSi structure.

Structure (POSCAR):
```
Li2ZnSi
1.0
-1.499 -0.136 -2.159
-3.116 -1.338 2.247
-1.549 4.893 0.767
Zn Si Li
1 1 2
Direct
0.500 0.500 0.000
0.500 0.500 0.500
0.000 0.000 0.739
0.000 0.000 0.261
```

Formation energy from raw total energies in eV/atom: -0.169
Volume in A^3/atom: 13.9

---

Record 6
A plane-wave DFT calculation with GGA-PBEsol was carried out for a geometry-optimized ScRhBr structure.

Structure (POSCAR):
```
ScRhBr
1.0
-1.176 -0.491 2.910
-2.068 -2.097 -1.189
5.245 -2.724 -0.073
Br Rh Sc
1 1 1
Direct
0.991 0.991 0.982
0.688 0.688 0.376
0.321 0.321 0.642
```

Formation energy from raw total energies in eV/atom: -0.607
Volume in A^3/atom: 18.4